# Be2AsP

A relaxed Be2AsP crystal (PBE, Alexandria via LeMat-Bulk).

Values from the calculation:
Spin magnetization = 0.0 μB/cell
Calculated formation energy = 0.701 eV/atom

Cell: 4.1803 4.1803 4.1803 Å, 60.00 60.00 60.00°
Closest atoms and distances in Å follow each position.
Fractional coordinates of all 4 atoms:
Be: 0.0000 0.0000 0.0000  4 As 2.56, 4 Be 2.56
Be: 0.2500 0.2500 0.2500  4 Be 2.56, 4 P 2.56
As: 0.7500 0.7500 0.7500  4 Be 2.56, 4 P 2.56
P: 0.5000 0.5000 0.5000  4 As 2.56, 4 Be 2.56